[1]
{
  "formula": "IrSe2N",
  "functional": "GGA-PBE",
  "state": "optimized geometry",
  "cell": [[-2.0825, -1.9790, 4.4304], [-3.1154, -3.1509, -2.8719], [1.1769, -6.3677, 0.8554]],
  "species": ["Ir", "Ir", "Se", "Se", "Se", "Se", "N", "N"],
  "frac_coords": [[0.0000, 0.0000, 0.0000], [0.7500, 0.2500, 0.5000], [0.5936, 0.1250, 0.2500], [0.1564, 0.6250, 0.2500], [0.3750, 0.4064, 0.7500], [0.8750, 0.8436, 0.7500], [0.5000, 0.5000, 0.0000], [0.2500, 0.7500, 0.5000]],
  "raw_formation_energy_mev_per_atom": 850,
  "mass_density_g_cm3": 8.09,
  "space_group": "I-42d (122)",
  "dos_ef_per_ev_fu": 0.6
}


[2]
{
  "formula": "IrSeN",
  "functional": "GGA-PBE",
  "state": "optimized geometry",
  "cell": [[-0.9828, 0.0466, -3.6901], [-2.8849, -1.4045, -2.0711], [-8.1924, 7.1654, -3.2027]],
  "species": ["N", "N", "Ir", "Ir", "Se", "Se"],
  "frac_coords": [[0.9880, 0.9880, 0.6306], [0.8779, 0.8779, 0.3144], [0.5788, 0.5788, 0.3192], [0.0102, 0.0102, 0.1132], [0.3843, 0.3843, 0.5763], [0.4204, 0.4204, 0.9684]],
  "raw_formation_energy_mev_per_atom": 604,
  "mass_density_g_cm3": 9.46,
  "space_group": "Cm (8)",
  "dos_ef_per_ev_fu": 0.6
}


[3]
{
  "formula": "IrSeN3",
  "functional": "GGA-PBE",
  "state": "optimized geometry",
  "cell": [[3.8878, 0.0000, 0.0000], [0.0000, 3.8878, 0.0000], [0.0000, 0.0000, 3.8878]],
  "species": ["Ir", "Se", "N", "N", "N"],
  "frac_coords": [[0.0000, 0.0000, 0.0000], [0.5000, 0.5000, 0.5000], [0.0000, 0.5000, 0.0000], [0.0000, 0.0000, 0.5000], [0.5000, 0.0000, 0.0000]],
  "raw_formation_energy_mev_per_atom": 1628,
  "mass_density_g_cm3": 8.85,
  "space_group": "Pm-3m (221)",
  "dos_ef_per_ev_fu": 3.9
}